Density functional theory data (GGA-PBE) for a geometry-optimized Be2CoPb structure.

* crystal system: tetragonal
* formation energy from the elements: 343 meV/atom

Cell: 3.323 3.328 5.187 Å, 90.00 90.00 90.00°
Element x y z (fractional)
Be 0.500 0.375 0.177
Be 0.000 0.875 0.177
Pb 0.500 0.875 0.713
Co 0.000 0.375 0.433